This record from Alexandria via LeMat-Bulk describes SrAc15Pm4 after structural relaxation. The functional is GGA-PBE.

Cell and atoms, written as extended XYZ:
```
20
Lattice="5.577 0.000 0.000 0.000 5.577 0.000 0.000 0.000 27.716" Properties=species:S:1:pos:R:3 pbc="T T T"
Sr 0.000 0.000 0.000
Ac 0.000 2.788 2.931
Ac 0.000 2.788 8.378
Ac 0.000 2.788 13.858
Ac 0.000 2.788 19.338
Ac 0.000 2.788 24.785
Ac 2.788 0.000 2.931
Ac 2.788 0.000 8.378
Ac 2.788 0.000 13.858
Ac 2.788 0.000 19.338
Ac 2.788 0.000 24.785
Ac 2.788 2.788 0.000
Ac 2.788 2.788 5.636
Ac 2.788 2.788 11.109
Ac 2.788 2.788 16.607
Ac 2.788 2.788 22.079
Pm 0.000 0.000 5.618
Pm 0.000 0.000 11.120
Pm 0.000 0.000 16.595
Pm 0.000 0.000 22.097
```

Properties
Mass density (Mg/m³): 7.8
ΔH_f (0 K) (eV/atom): 0.034

---

This record from Alexandria via LeMat-Bulk describes Rb2TlHg4 after structural relaxation. The functional is GGA-PBE.

Cell and atoms, written as extended XYZ:
```
7
Lattice="-2.897 2.897 9.530 2.897 -2.897 9.530 2.897 2.897 -9.530" Properties=species:S:1:pos:R:3 pbc="T T T"
Rb 0.000 0.000 2.527
Rb 0.000 0.000 16.534
Tl 0.000 0.000 9.530
Hg 2.897 0.000 0.000
Hg 0.000 0.000 6.164
Hg 0.000 2.897 0.000
Hg 0.000 0.000 12.897
```

Properties
Mass density (Mg/m³): 6.1
ΔH_f (0 K) (eV/atom): -0.088

---

This record from Alexandria via LeMat-Bulk describes LiPBrCl2 after structural relaxation. The functional is GGA-PBE.

Cell and atoms, written as extended XYZ:
```
5
Lattice="4.330 0.000 0.000 0.000 4.330 0.000 0.000 0.000 7.548" Properties=species:S:1:pos:R:3 pbc="T T T"
Li 0.000 0.000 0.000
P 0.000 0.000 3.774
Br 2.165 2.165 3.774
Cl 0.000 2.165 0.000
Cl 2.165 0.000 0.000
```

Properties
ΔE_f (raw) (eV per atom): 0.000
Mass density (Mg/m³): 2.2

---

This record from Alexandria via LeMat-Bulk describes Ca3ZnCu8 after structural relaxation. The functional is GGA-PBE.

Cell and atoms, written as extended XYZ:
```
12
Lattice="2.595 1.498 8.457 -2.595 1.498 8.457 0.000 -2.996 8.457" Properties=species:S:1:pos:R:3 pbc="T T T"
Ca 0.000 0.000 0.000
Ca 0.000 0.000 3.294
Ca 0.000 0.000 13.093
Zn 0.000 0.000 16.170
Cu -1.305 -0.754 10.154
Cu 0.000 -1.478 6.018
Cu -1.280 0.739 6.018
Cu 0.000 0.000 8.079
Cu 1.280 0.739 6.018
Cu 1.305 -0.754 10.154
Cu 0.000 1.507 10.154
Cu 0.000 0.000 20.791
```

Properties
Mass density (Mg/m³): 5.8
ΔH_f (0 K) (eV/atom): -0.096

---

This record from Alexandria via LeMat-Bulk describes BaReBr4 after structural relaxation. The functional is GGA-PBE.

Cell and atoms, written as extended XYZ:
```
6
Lattice="0.000 4.615 4.615 4.615 0.000 4.615 4.615 4.615 0.000" Properties=species:S:1:pos:R:3 pbc="T T T"
Ba 0.000 0.000 0.000
Re 2.307 2.307 2.307
Br 5.766 3.463 3.463
Br 3.463 5.766 3.463
Br 3.463 3.463 5.766
Br 5.766 5.766 5.766
```

Properties
ΔE_f (raw) (eV per atom): 0.494
Mass density (Mg/m³): 5.4

---

This record from Alexandria via LeMat-Bulk describes ZrBe after structural relaxation. The functional is GGA-PBE.

Cell and atoms, written as extended XYZ:
```
12
Lattice="6.903 0.000 0.000 0.000 6.903 0.000 0.000 0.000 6.903" Properties=species:S:1:pos:R:3 pbc="T T T"
Zr 0.000 1.726 3.451
Zr 0.000 5.177 3.451
Zr 1.726 3.451 0.000
Zr 3.451 0.000 1.726
Zr 3.451 0.000 5.177
Zr 5.177 3.451 0.000
Be 0.000 3.451 1.726
Be 0.000 3.451 5.177
Be 1.726 0.000 3.451
Be 3.451 1.726 0.000
Be 3.451 5.177 0.000
Be 5.177 0.000 3.451
```

Properties
Mass density (Mg/m³): 3.0
ΔH_f (0 K) (eV/atom): 1.526

---

This record from Alexandria via LeMat-Bulk describes FePbAu2 after structural relaxation. The functional is GGA-PBE.

Cell and atoms, written as extended XYZ:
```
4
Lattice="1.610 0.930 9.056 -1.610 0.930 9.056 0.000 -1.859 9.056" Properties=species:S:1:pos:R:3 pbc="T T T"
Fe 0.000 0.000 0.000
Pb 0.000 0.000 13.585
Au 0.000 0.000 7.157
Au 0.000 0.000 20.012
```

Properties
Mass density (Mg/m³): 13.4
ΔH_f (0 K) (eV/atom): 0.248

---

This record from Alexandria via LeMat-Bulk describes GaNi8Pt6 after structural relaxation. The functional is GGA-PBE.

Cell and atoms, written as extended XYZ:
```
15
Lattice="4.626 0.000 0.000 -2.253 6.592 0.000 -2.212 -1.433 6.480" Properties=species:S:1:pos:R:3 pbc="T T T"
Ga 0.000 0.000 0.000
Ni -1.506 2.612 2.149
Ni -1.413 5.208 2.169
Ni -0.688 1.240 4.318
Ni 0.018 5.278 0.003
Ni 0.142 -0.119 6.477
Ni 0.849 3.919 2.162
Ni 1.574 -0.049 4.311
Ni 1.667 2.547 4.331
Pt -2.961 5.233 4.362
Pt -2.189 1.176 6.434
Pt 0.835 1.332 2.220
Pt -0.675 3.827 4.261
Pt 2.350 3.983 0.046
Pt 3.122 -0.074 2.119
```

Properties
Mass density (Mg/m³): 14.4
ΔH_f (0 K) (eV/atom): -0.151

---

This record from Alexandria via LeMat-Bulk describes SrLi2P2 after structural relaxation. The functional is GGA-PBE.

Cell and atoms, written as extended XYZ:
```
5
Lattice="-2.122 2.122 5.172 2.122 -2.122 5.172 2.122 2.122 -5.172" Properties=species:S:1:pos:R:3 pbc="T T T"
Sr 0.000 0.000 0.000
Li 2.122 0.000 2.586
Li 0.000 2.122 2.586
P 0.000 0.000 4.021
P 0.000 0.000 6.323
```

Properties
Mass density (Mg/m³): 2.9
ΔH_f (0 K) (eV/atom): -0.835

---

This record from Alexandria via LeMat-Bulk describes PrNd4Sb5 after structural relaxation. The functional is GGA-PBE.

Cell and atoms, written as extended XYZ:
```
10
Lattice="-2.268 3.202 11.319 2.268 -3.202 11.319 2.268 3.202 -11.319" Properties=species:S:1:pos:R:3 pbc="T T T"
Pr 0.000 0.000 0.000
Nd 0.000 0.000 4.536
Nd 0.000 0.000 9.053
Nd 0.000 0.000 13.584
Nd 0.000 0.000 18.101
Sb 2.268 0.000 2.280
Sb 2.268 0.000 6.794
Sb 0.000 3.202 0.000
Sb 0.000 3.202 4.525
Sb 0.000 3.202 9.038
```

Properties
ΔE_f (raw) (eV per atom): -1.190
Mass density (Mg/m³): 6.7

---

This record from Alexandria via LeMat-Bulk describes ZnMoPt2 after structural relaxation. The functional is GGA-PBE.

Cell and atoms, written as extended XYZ:
```
4
Lattice="2.811 -3.903 0.000 2.811 3.903 0.000 0.000 0.000 2.776" Properties=species:S:1:pos:R:3 pbc="T T T"
Zn 0.000 0.000 0.000
Mo 2.811 0.000 0.000
Pt 1.405 1.952 1.388
Pt 1.405 -1.952 1.388
```

Properties
Mass density (Mg/m³): 15.0
ΔH_f (0 K) (eV/atom): -0.268

---

This record from Alexandria via LeMat-Bulk describes CeY2Hg after structural relaxation. The functional is GGA-PBE.

Cell and atoms, written as extended XYZ:
```
4
Lattice="4.895 0.000 0.000 0.000 4.895 0.000 0.000 0.000 4.706" Properties=species:S:1:pos:R:3 pbc="T T T"
Ce 0.000 0.000 0.000
Y 0.000 2.447 2.353
Y 2.447 0.000 2.353
Hg 2.447 2.447 0.000
```

Properties
Mass density (Mg/m³): 7.6
ΔH_f (0 K) (eV/atom): -0.110

---

This record from Alexandria via LeMat-Bulk describes IrSe5 after structural relaxation. The functional is GGA-PBE.

Cell and atoms, written as extended XYZ:
```
6
Lattice="5.372 0.000 0.000 0.000 1.887 6.324 0.000 -1.887 6.324" Properties=species:S:1:pos:R:3 pbc="T T T"
Ir 0.000 0.000 0.000
Se 0.000 0.000 4.690
Se 0.000 0.000 7.972
Se 2.686 0.000 0.126
Se 2.686 0.000 4.085
Se 2.686 0.000 8.375
```

Properties
ΔE_f (raw) (eV per atom): -0.035
Mass density (Mg/m³): 7.6

---

This record from Alexandria via LeMat-Bulk describes Ta2InCu after structural relaxation. The functional is GGA-PBE.

Cell and atoms, written as extended XYZ:
```
4
Lattice="-2.008 2.008 4.377 2.008 -2.008 4.377 2.008 2.008 -4.377" Properties=species:S:1:pos:R:3 pbc="T T T"
Ta 0.000 0.000 0.000
Ta 0.000 2.008 2.189
In 0.000 0.000 4.377
Cu 2.008 0.000 2.189
```

Properties
Mass density (Mg/m³): 12.7
ΔH_f (0 K) (eV/atom): 0.275

---

This record from Alexandria via LeMat-Bulk describes Dy2Zn5AgRu2 after structural relaxation. The functional is GGA-PBE.

Cell and atoms, written as extended XYZ:
```
20
Lattice="9.460 0.000 0.000 0.000 9.460 0.000 0.000 0.000 4.031" Properties=species:S:1:pos:R:3 pbc="T T T"
Dy 1.669 3.061 0.000
Dy 3.061 7.791 0.000
Dy 6.399 1.669 0.000
Dy 7.791 6.399 0.000
Zn 0.000 4.730 2.015
Zn 0.563 7.510 2.015
Zn 1.950 0.563 2.015
Zn 2.780 5.293 2.015
Zn 4.167 2.780 2.015
Zn 4.730 0.000 2.015
Zn 5.293 6.680 2.015
Zn 6.680 4.167 2.015
Zn 7.510 8.897 2.015
Zn 8.897 1.950 2.015
Ag 0.000 0.000 0.000
Ag 4.730 4.730 0.000
Ru 1.162 5.892 0.000
Ru 3.568 1.162 0.000
Ru 5.892 8.298 0.000
Ru 8.298 3.568 0.000
```

Properties
Mass density (Mg/m³): 8.9
ΔH_f (0 K) (eV/atom): -0.186

---

This record from Alexandria via LeMat-Bulk describes Pt2RhBr after structural relaxation. The functional is GGA-PBE.

Cell and atoms, written as extended XYZ:
```
4
Lattice="2.839 0.000 0.000 0.000 4.703 0.000 0.000 0.000 4.985" Properties=species:S:1:pos:R:3 pbc="T T T"
Pt 0.000 0.000 0.000
Pt 1.419 2.351 0.000
Rh 0.000 2.351 2.493
Br 1.419 0.000 2.493
```

Properties
ΔE_f (raw) (eV per atom): 0.532
Mass density (Mg/m³): 14.3

---

This record from Alexandria via LeMat-Bulk describes HoTlI4 after structural relaxation. The functional is GGA-PBE.

Cell and atoms, written as extended XYZ:
```
6
Lattice="7.555 -2.248 0.000 7.555 2.248 0.000 -1.816 0.000 8.545" Properties=species:S:1:pos:R:3 pbc="T T T"
Ho 0.000 0.000 0.000
Tl 6.647 0.000 4.273
I 1.254 0.000 2.702
I 5.616 0.000 0.848
I 7.678 0.000 7.698
I 12.039 0.000 5.843
```

Properties
ΔE_f (raw) (eV per atom): -1.136
Mass density (Mg/m³): 5.0

---

This record from Alexandria via LeMat-Bulk describes Mg2ZnRh after structural relaxation. The functional is GGA-PBE.

Cell and atoms, written as extended XYZ:
```
4
Lattice="3.261 0.000 0.000 0.000 3.261 0.000 0.000 0.000 6.135" Properties=species:S:1:pos:R:3 pbc="T T T"
Mg 0.000 0.000 1.420
Mg 0.000 0.000 4.715
Zn 1.631 1.631 3.067
Rh 1.631 1.631 0.000
```

Properties
Mass density (Mg/m³): 5.5
ΔH_f (0 K) (eV/atom): -0.351

---

This record from Alexandria via LeMat-Bulk describes LiAl4 after structural relaxation. The functional is GGA-PBE.

Cell and atoms, written as extended XYZ:
```
5
Lattice="-2.868 2.868 2.868 2.868 -2.868 2.868 2.868 2.868 -2.868" Properties=species:S:1:pos:R:3 pbc="T T T"
Li 0.000 0.000 0.000
Al 1.434 1.434 -1.434
Al 1.434 -1.434 1.434
Al -1.434 1.434 1.434
Al 1.434 1.434 1.434
```

Properties
Mass density (Mg/m³): 2.0
ΔH_f (0 K) (eV/atom): 0.301

---

This record from Alexandria via LeMat-Bulk describes Ba4Hf after structural relaxation. The functional is GGA-PBE.

Cell and atoms, written as extended XYZ:
```
5
Lattice="6.584 0.000 0.000 0.000 6.584 0.000 0.000 0.000 6.584" Properties=species:S:1:pos:R:3 pbc="T T T"
Ba 0.000 0.000 0.000
Ba 0.000 3.292 3.292
Ba 3.292 0.000 3.292
Ba 3.292 3.292 0.000
Hf 3.292 3.292 3.292
```

Properties
Mass density (Mg/m³): 4.2
ΔH_f (0 K) (eV/atom): 0.618

---

This record from Alexandria via LeMat-Bulk describes BiSeBr2 after structural relaxation. The functional is GGA-PBE.

Cell and atoms, written as extended XYZ:
```
4
Lattice="3.914 0.000 0.000 1.063 6.065 0.000 1.076 1.353 5.910" Properties=species:S:1:pos:R:3 pbc="T T T"
Bi 0.000 0.000 0.000
Se 3.034 2.629 4.310
Br 1.844 0.820 2.185
Br 4.217 5.104 5.593
```

Properties
ΔE_f (raw) (eV per atom): -0.286
Mass density (Mg/m³): 5.3

---

This record from Alexandria via LeMat-Bulk describes LiHg2I2 after structural relaxation. The functional is GGA-PBE.

Cell and atoms, written as extended XYZ:
```
10
Lattice="8.181 0.000 0.000 0.000 8.181 0.000 0.000 0.000 5.925" Properties=species:S:1:pos:R:3 pbc="T T T"
Li 0.000 0.000 0.000
Li 4.091 4.091 0.000
Hg 1.009 3.082 2.963
Hg 3.082 7.172 2.963
Hg 5.099 1.009 2.963
Hg 7.172 5.099 2.963
I 1.789 2.301 0.000
I 2.301 6.392 0.000
I 5.880 1.789 0.000
I 6.392 5.880 0.000
```

Properties
ΔE_f (raw) (eV per atom): -0.394
Mass density (Mg/m³): 5.5

---

This record from Alexandria via LeMat-Bulk describes ZrAlSi2 after structural relaxation. The functional is GGA-PBE.

Cell and atoms, written as extended XYZ:
```
4
Lattice="3.724 0.000 0.000 -1.862 3.225 0.000 0.000 0.000 6.219" Properties=species:S:1:pos:R:3 pbc="T T T"
Zr 0.000 0.000 0.000
Al 0.000 0.000 3.109
Si 0.000 2.150 1.678
Si 1.862 1.075 4.540
```

Properties
ΔE_f (raw) (eV per atom): -0.234
Mass density (Mg/m³): 3.9

---

This record from Alexandria via LeMat-Bulk describes MgMn3In after structural relaxation. The functional is GGA-PBE.

Cell and atoms, written as extended XYZ:
```
5
Lattice="5.024 0.000 0.000 0.000 5.024 0.000 0.000 0.000 5.024" Properties=species:S:1:pos:R:3 pbc="T T T"
Mg 0.000 0.000 0.000
Mn 0.000 2.512 2.512
Mn 2.512 0.000 2.512
Mn 2.512 2.512 0.000
In 2.512 2.512 2.512
```

Properties
Mass density (Mg/m³): 4.0
ΔH_f (0 K) (eV/atom): 1.116

---

This record from Alexandria via LeMat-Bulk describes Tb2Nd4DyHo2 after structural relaxation. The functional is GGA-PBE.

Cell and atoms, written as extended XYZ:
```
9
Lattice="7.656 -2.548 0.000 7.656 2.548 0.000 -2.553 0.000 7.631" Properties=species:S:1:pos:R:3 pbc="T T T"
Tb 1.273 0.000 1.294
Tb 11.487 0.000 6.337
Nd 1.286 0.000 6.346
Nd 6.395 0.000 1.289
Nd 6.365 0.000 6.342
Nd 11.474 0.000 1.285
Dy -1.276 0.000 3.816
Ho 3.820 0.000 3.818
Ho 8.941 0.000 3.813
```

Properties
Mass density (Mg/m³): 7.7
ΔH_f (0 K) (eV/atom): 0.019